1.
{
  "formula": "SmErHgOs",
  "functional": "PBE",
  "state": "relaxed",
  "cell": [[0.000, 3.569, 3.569], [3.569, 0.000, 3.569], [3.569, 3.569, 0.000]],
  "species": ["Sm", "Er", "Hg", "Os"],
  "fractional_positions": [[0.000, 0.000, 0.000], [0.500, 0.500, 0.500], [0.250, 0.250, 0.250], [0.750, 0.750, 0.750]],
  "n_ef_per_ev_cell": 3.00,
  "volume_a3_per_atom": 22.72,
  "space_group": "No. 216",
  "e_form_ev_per_atom": -0.2224
}

---

2.
{
  "formula": "Nd2YEr2Sc2",
  "functional": "PBE",
  "state": "relaxed",
  "cell": [[8.637, -1.704, 0.000], [8.637, 1.704, 0.000], [-3.816, 0.000, 7.411]],
  "species": ["Nd", "Nd", "Y", "Er", "Er", "Sc", "Sc"],
  "fractional_positions": [[0.149, 0.149, 0.387], [0.851, 0.851, 0.613], [0.500, 0.500, 0.500], [0.074, 0.074, 0.908], [0.926, 0.926, 0.092], [0.288, 0.288, 0.194], [0.712, 0.712, 0.806]],
  "n_ef_per_ev_cell": 12.81,
  "volume_a3_per_atom": 31.16,
  "space_group": "No. 12",
  "e_form_ev_per_atom": 0.1707
}